The following is a DFT calculation (PBE) of PmDy3Er5 after structural relaxation.

```
data_PmDy3Er5
_symmetry_space_group_name_H-M 'C 1 2/c 1'
_symmetry_Int_Tables_number 15
_cell_length_a 17.171
_cell_length_b 6.148
_cell_length_c 11.181
_cell_angle_alpha 90.00
_cell_angle_beta 90.69
_cell_angle_gamma 90.00
loop_
_symmetry_equiv_pos_as_xyz
'x,y,z'
'-x,-y,-z'
'-x,y,-z+1/2'
'x,-y,z+1/2'
'x+1/2,y+1/2,z'
'-x+1/2,-y+1/2,-z'
'-x+1/2,y+1/2,-z+1/2'
'x+1/2,-y+1/2,z+1/2'
loop_
_atom_site_label
_atom_site_type_symbol
_atom_site_fract_x
_atom_site_fract_y
_atom_site_fract_z
Pm1 Pm 0.000 0.120 0.250
Dy1 Dy 0.000 0.000 0.000
Dy2 Dy 0.165 0.279 0.085
Er1 Er 0.000 0.406 0.750
Er2 Er 0.166 0.273 0.413
Er3 Er 0.172 0.202 0.748
```

**Formation energy**: 329 meV/atom
**Total DFT energy (no corrections)**: -4.27 eV/atom
**ΔE to the lowest computed polymorph**: 0 meV per atom
**N(E_F)**: 13.4 states/eV/f.u.